Run a
PrHo2Pa | PBE-GGA | relaxed

Calculated values
Crystal system: trigonal
Total magnetic moment (μB per formula unit): 0.00
N(E_F) (states/eV per atom): 1.40

Cell lengths 12.3384, 12.3384, 12.3384 Å; angles 15.90, 15.90, 15.90 degrees
Fractional positions:
Pr 0.0000 0.0000 0.0000
Ho 0.0933 0.0933 0.0933
Ho 0.9067 0.9067 0.9067
Pa 0.5000 0.5000 0.5000

=====

Run b
PrHo2Pa | PBE-GGA | relaxed

Calculated values
Crystal system: tetragonal
Total magnetic moment (μB per formula unit): 0.08
N(E_F) (states/eV per atom): 1.70

Cell lengths 3.4371, 3.4371, 10.2524 Å; angles 90.00, 90.00, 90.00 degrees
Fractional positions:
Pr 0.0000 0.0000 0.0000
Ho 0.5000 0.5000 0.2726
Ho 0.5000 0.5000 0.7274
Pa 0.0000 0.0000 0.5000

=====

Energies relative to the most stable structure, in eV/atom: run a 0.065; run b 0.000.

=====

Run a
Ho2PaPt | PBE-GGA | relaxed

Calculated values
Crystal system: tetragonal
Total magnetic moment (μB per formula unit): 0.39
N(E_F) (states/eV per atom): 1.38

Cell lengths 3.4550, 3.4550, 8.1788 Å; angles 90.00, 90.00, 90.00 degrees
Fractional positions:
Ho 0.0000 0.0000 0.2078
Ho 0.0000 0.0000 0.7922
Pa 0.5000 0.5000 0.5000
Pt 0.5000 0.5000 0.0000

=====

Run b
Ho2PaPt | PBE-GGA | relaxed

Calculated values
Crystal system: trigonal
Total magnetic moment (μB per formula unit): 0.00
N(E_F) (states/eV per atom): 1.09

Cell lengths 10.8113, 10.8113, 10.8113 Å; angles 18.03, 18.03, 18.03 degrees
Fractional positions:
Ho 0.1029 0.1029 0.1029
Ho 0.8971 0.8971 0.8971
Pa 0.0000 0.0000 0.0000
Pt 0.5000 0.5000 0.5000

=====

Energies relative to the most stable structure, in eV/atom: run a 0.000; run b 0.374.

=====

Run a
HoPuPa | PBE-GGA | relaxed

Calculated values
Crystal system: tetragonal
Total magnetic moment (μB per formula unit): 5.76
N(E_F) (states/eV per atom): 1.70

Cell lengths 7.2845, 7.2845, 7.2845 Å; angles 152.94, 152.94, 38.65 degrees
Fractional positions:
Ho 0.0000 0.0000 0.0000
Pu 0.3107 0.3107 0.0000
Pa 0.6696 0.6696 0.0000

=====

Run b
HoPuPa | PBE-GGA | relaxed

Calculated values
Crystal system: hexagonal
Total magnetic moment (μB per formula unit): 6.18
N(E_F) (states/eV per atom): 2.45

Cell lengths 5.2502, 5.2502, 3.3117 Å; angles 90.00, 90.00, 120.00 degrees
Fractional positions:
Ho 0.0000 0.0000 0.0000
Pu 0.6667 0.3333 0.5000
Pa 0.3333 0.6667 0.5000

=====

Run c
HoPuPa | PBE-GGA | relaxed

Calculated values
Crystal system: trigonal
Total magnetic moment (μB per formula unit): 6.11
N(E_F) (states/eV per atom): 2.27

Cell lengths 6.9901, 6.9901, 6.9901 Å; angles 45.94, 45.94, 45.94 degrees
Fractional positions:
Ho 0.0989 0.0989 0.0989
Ho 0.9011 0.9011 0.9011
Pu 0.2818 0.2818 0.2818
Pu 0.7182 0.7182 0.7182
Pa 0.4226 0.4226 0.4226
Pa 0.5774 0.5774 0.5774

=====

Energies relative to the most stable structure, in eV/atom: run a 0.000; run b 0.093; run c 0.367.

=====

Run a
HoPa2Re | PBE-GGA | relaxed

Calculated values
Crystal system: trigonal
Total magnetic moment (μB per formula unit): 0.00
N(E_F) (states/eV per atom): 1.58

Cell lengths 9.0535, 9.0535, 9.0535 Å; angles 24.01, 24.01, 24.01 degrees
Fractional positions:
Ho 0.0000 0.0000 0.0000
Pa 0.2304 0.2304 0.2304
Pa 0.7696 0.7696 0.7696
Re 0.5000 0.5000 0.5000

=====

Run b
HoPa2Re | PBE-GGA | relaxed

Calculated values
Crystal system: tetragonal
Total magnetic moment (μB per formula unit): 0.00
N(E_F) (states/eV per atom): 2.49

Cell lengths 3.3084, 3.3084, 8.9105 Å; angles 90.00, 90.00, 90.00 degrees
Fractional positions:
Ho 0.0000 0.0000 0.0000
Pa 0.5000 0.5000 0.2964
Pa 0.5000 0.5000 0.7036
Re 0.0000 0.0000 0.5000

=====

Energies relative to the most stable structure, in eV/atom: run a 0.161; run b 0.000.

=====

Run a
HoPaRh2 | PBE-GGA | relaxed

Calculated values
Crystal system: tetragonal
Total magnetic moment (μB per formula unit): 0.00
N(E_F) (states/eV per atom): 0.82

Cell lengths 3.4547, 3.4547, 6.9256 Å; angles 90.00, 90.00, 90.00 degrees
Fractional positions:
Ho 0.0000 0.0000 0.0000
Pa 0.0000 0.0000 0.5000
Rh 0.5000 0.5000 0.2760
Rh 0.5000 0.5000 0.7240

=====

Run b
HoPaRh2 | PBE-GGA | relaxed

Calculated values
Crystal system: trigonal
Total magnetic moment (μB per formula unit): 0.00
N(E_F) (states/eV per atom): 0.72

Cell lengths 7.1367, 7.1367, 7.1367 Å; angles 31.67, 31.67, 31.67 degrees
Fractional positions:
Ho 0.0000 0.0000 0.0000
Pa 0.5000 0.5000 0.5000
Rh 0.2439 0.2439 0.2439
Rh 0.7561 0.7561 0.7561

=====

Energies relative to the most stable structure, in eV/atom: run a 0.017; run b 0.000.

=====

Run a
HoPaRh2 | PBE-GGA | relaxed

Calculated values
Crystal system: monoclinic
Total magnetic moment (μB per formula unit): 0.00
N(E_F) (states/eV per atom): 0.77

Cell lengths 5.9224, 4.0212, 7.6133 Å; angles 90.00, 109.53, 90.00 degrees
Fractional positions:
Ho 0.2237 0.2500 0.4366
Ho 0.7763 0.7500 0.5634
Pa 0.2183 0.2500 0.9280
Pa 0.7817 0.7500 0.0720
Rh 0.2919 0.7500 0.1823
Rh 0.3211 0.7500 0.7304
Rh 0.6789 0.2500 0.2696
Rh 0.7081 0.2500 0.8177

=====

Run b
HoPaRh2 | PBE-GGA | relaxed

Calculated values
Crystal system: cubic
Total magnetic moment (μB per formula unit): 0.01
N(E_F) (states/eV per atom): 1.56

Cell lengths 4.8621, 4.8621, 4.8621 Å; angles 60.00, 60.00, 60.00 degrees
Fractional positions:
Ho 0.0000 0.0000 0.0000
Pa 0.5000 0.5000 0.5000
Rh 0.2500 0.2500 0.2500
Rh 0.7500 0.7500 0.7500

=====

Energies relative to the most stable structure, in eV/atom: run a 0.000; run b 0.187.

=====

Run a
Ho2PaRu2 | PBE-GGA | relaxed

Calculated values
Crystal system: monoclinic
Total magnetic moment (μB per formula unit): 0.00
N(E_F) (states/eV per atom): 0.57

Cell lengths 10.1661, 6.6287, 7.0398 Å; angles 90.00, 98.20, 90.00 degrees
Fractional positions:
Ho 0.0193 0.2428 0.4329
Ho 0.0193 0.2572 0.9329
Ho 0.2816 0.6553 0.8810
Ho 0.2816 0.8447 0.3810
Ho 0.7184 0.1553 0.6190
Ho 0.7184 0.3447 0.1190
Ho 0.9807 0.7428 0.0671
Ho 0.9807 0.7572 0.5671
Pa 0.3628 0.1697 0.0006
Pa 0.3628 0.3303 0.5006
Pa 0.6372 0.6697 0.4994
Pa 0.6372 0.8303 0.9994
Ru 0.1961 0.0426 0.7244
Ru 0.1961 0.4574 0.2244
Ru 0.4875 0.5647 0.2194
Ru 0.4875 0.9353 0.7194
Ru 0.5125 0.0647 0.2806
Ru 0.5125 0.4353 0.7806
Ru 0.8039 0.5426 0.7756
Ru 0.8039 0.9574 0.2756

=====

Run b
Ho2PaRu2 | PBE-GGA | relaxed

Calculated values
Crystal system: monoclinic
Total magnetic moment (μB per formula unit): 0.00
N(E_F) (states/eV per atom): 1.03

Cell lengths 5.8336, 5.8336, 7.8340 Å; angles 99.74, 99.74, 60.38 degrees
Fractional positions:
Ho 0.0220 0.2812 0.1517
Ho 0.2812 0.0220 0.6517
Ho 0.7188 0.9780 0.3483
Ho 0.9780 0.7188 0.8483
Pa 0.3607 0.6393 0.2500
Pa 0.6393 0.3607 0.7500
Ru 0.2378 0.5036 0.4873
Ru 0.4964 0.7622 0.0127
Ru 0.5036 0.2378 0.9873
Ru 0.7622 0.4964 0.5127

=====

Energies relative to the most stable structure, in eV/atom: run a 0.043; run b 0.000.

=====

Run a
HoPa2Ru | PBE-GGA | relaxed

Calculated values
Crystal system: trigonal
Total magnetic moment (μB per formula unit): 0.00
N(E_F) (states/eV per atom): 1.72

Cell lengths 9.2070, 9.2070, 9.2070 Å; angles 22.84, 22.84, 22.84 degrees
Fractional positions:
Ho 0.0000 0.0000 0.0000
Pa 0.2318 0.2318 0.2318
Pa 0.7682 0.7682 0.7682
Ru 0.5000 0.5000 0.5000

=====

Run b
HoPa2Ru | PBE-GGA | relaxed

Calculated values
Crystal system: tetragonal
Total magnetic moment (μB per formula unit): 0.00
N(E_F) (states/eV per atom): 1.70

Cell lengths 3.5823, 3.5823, 7.5684 Å; angles 90.00, 90.00, 90.00 degrees
Fractional positions:
Ho 0.0000 0.0000 0.0000
Pa 0.5000 0.5000 0.3084
Pa 0.5000 0.5000 0.6916
Ru 0.0000 0.0000 0.5000

=====

Energies relative to the most stable structure, in eV/atom: run a 0.045; run b 0.000.

=====

Run a
Ho3PaRu3 | PBE-GGA | relaxed

Calculated values
Crystal system: trigonal
Total magnetic moment (μB per formula unit): 0.00
N(E_F) (states/eV per atom): 0.38

Cell lengths 5.7964, 5.7964, 5.7964 Å; angles 108.84, 108.84, 108.84 degrees
Fractional positions:
Ho 0.1997 0.1997 0.6006
Ho 0.1997 0.6006 0.1997
Ho 0.6006 0.1997 0.1997
Pa 0.8066 0.8066 0.8066
Ru 0.1591 0.6984 0.6984
Ru 0.6984 0.1591 0.6984
Ru 0.6984 0.6985 0.1591

=====

Run b
Ho3PaRu3 | PBE-GGA | relaxed

Calculated values
Crystal system: monoclinic
Total magnetic moment (μB per formula unit): 0.00
N(E_F) (states/eV per atom): 0.71

Cell lengths 6.9876, 6.9876, 6.5698 Å; angles 94.33, 94.33, 83.37 degrees
Fractional positions:
Ho 0.1864 0.8136 0.0000
Ho 0.2930 0.7070 0.5000
Ho 0.3137 0.3137 0.9557
Ho 0.6863 0.6863 0.0443
Ho 0.7070 0.2930 0.5000
Ho 0.8136 0.1864 0.0000
Pa 0.2088 0.2088 0.4104
Pa 0.7912 0.7912 0.5896
Ru 0.0128 0.4920 0.2631
Ru 0.0699 0.0699 0.6963
Ru 0.4920 0.0128 0.2631
Ru 0.5080 0.9872 0.7369
Ru 0.9301 0.9301 0.3037
Ru 0.9872 0.5080 0.7369

=====

Energies relative to the most stable structure, in eV/atom: run a 0.000; run b 0.064.

=====

Run a
HoPa2S6 | PBE-GGA | relaxed

Calculated values
Crystal system: monoclinic
Total magnetic moment (μB per formula unit): 1.13
N(E_F) (states/eV per atom): 0.89

Cell lengths 6.8830, 6.2603, 13.3757 Å; angles 90.00, 120.92, 90.00 degrees
Fractional positions:
Ho 0.0000 0.0000 0.0000
Ho 0.0000 0.5000 0.5000
Pa 0.3210 0.0006 0.8207
Pa 0.3210 0.4994 0.3207
Pa 0.6790 0.5006 0.6793
Pa 0.6790 0.9994 0.1793
S 0.0124 0.7421 0.3334
S 0.0124 0.7579 0.8334
S 0.3420 0.2137 0.0003
S 0.3420 0.2863 0.5003
S 0.3446 0.7439 0.6658
S 0.3446 0.7561 0.1658
S 0.6554 0.2439 0.8342
S 0.6554 0.2561 0.3342
S 0.6580 0.7137 0.4997
S 0.6580 0.7863 0.9997
S 0.9876 0.2421 0.1666
S 0.9876 0.2579 0.6666

=====

Run b
HoPa2S6 | PBE-GGA | relaxed

Calculated values
Crystal system: monoclinic
Total magnetic moment (μB per formula unit): 1.13
N(E_F) (states/eV per atom): 0.44

Cell lengths 7.2435, 7.2435, 8.7622 Å; angles 123.32, 123.32, 41.56 degrees
Fractional positions:
Ho 0.0000 0.0000 0.0000
Pa 0.1852 0.1852 0.6148
Pa 0.8148 0.8148 0.3852
S 0.0343 0.0343 0.7184
S 0.2536 0.2536 0.3689
S 0.3728 0.3728 0.9512
S 0.6272 0.6272 0.0488
S 0.7464 0.7464 0.6311
S 0.9657 0.9657 0.2816

=====

Energies relative to the most stable structure, in eV/atom: run a 0.000; run b 0.089.

=====

Run a
HoPaS4 | PBE-GGA | relaxed

Calculated values
Crystal system: orthorhombic
Total magnetic moment (μB per formula unit): 0.00

Cell lengths 6.2474, 6.2474, 4.1399 Å; angles 90.00, 90.00, 91.08 degrees
Fractional positions:
Ho 0.0000 0.0000 0.0000
Pa 0.5000 0.5000 0.5000
S 0.2007 0.2007 0.5000
S 0.3112 0.6888 0.0000
S 0.6888 0.3112 0.0000
S 0.7993 0.7993 0.5000

=====

Run b
HoPaS4 | PBE-GGA | relaxed

Calculated values
Crystal system: monoclinic
Total magnetic moment (μB per formula unit): 0.00
N(E_F) (states/eV per atom): 0.00

Cell lengths 6.8759, 4.0639, 6.8865 Å; angles 90.00, 108.37, 90.00 degrees
Fractional positions:
Ho 0.0000 0.0000 0.0000
Pa 0.0000 0.5000 0.5000
S 0.2091 0.5000 0.2429
S 0.2128 0.0000 0.7223
S 0.7872 0.0000 0.2777
S 0.7909 0.5000 0.7571

=====

Energies relative to the most stable structure, in eV/atom: run a 0.060; run b 0.000.

=====

Run a
Ho2PaSb | PBE-GGA | relaxed

Calculated values
Crystal system: tetragonal
Total magnetic moment (μB per formula unit): 0.00
N(E_F) (states/eV per atom): 0.86

Cell lengths 3.8410, 3.8410, 7.2633 Å; angles 90.00, 90.00, 90.00 degrees
Fractional positions:
Ho 0.0000 0.0000 0.2278
Ho 0.0000 0.0000 0.7722
Pa 0.5000 0.5000 0.5000
Sb 0.5000 0.5000 0.0000

=====

Run b
Ho2PaSb | PBE-GGA | relaxed

Calculated values
Crystal system: tetragonal
Total magnetic moment (μB per formula unit): 0.00
N(E_F) (states/eV per atom): 1.48

Cell lengths 4.8083, 4.8083, 4.5136 Å; angles 90.00, 90.00, 90.00 degrees
Fractional positions:
Ho 0.0000 0.5000 0.0000
Ho 0.5000 0.0000 0.0000
Pa 0.0000 0.0000 0.5000
Sb 0.5000 0.5000 0.5000

=====

Energies relative to the most stable structure, in eV/atom: run a 0.000; run b 0.031.

=====

Run a
HoPa2Sb | PBE-GGA | relaxed

Calculated values
Crystal system: tetragonal
Total magnetic moment (μB per formula unit): 0.31
N(E_F) (states/eV per atom): 2.00

Cell lengths 4.4544, 4.4544, 5.0758 Å; angles 90.00, 90.00, 90.00 degrees
Fractional positions:
Ho 0.0000 0.0000 0.0000
Pa 0.0000 0.5000 0.5000
Pa 0.5000 0.0000 0.5000
Sb 0.5000 0.5000 0.0000

=====

Run b
HoPa2Sb | PBE-GGA | relaxed

Calculated values
Crystal system: trigonal
Total magnetic moment (μB per formula unit): 0.00
N(E_F) (states/eV per atom): 2.23

Cell lengths 12.2587, 12.2587, 12.2587 Å; angles 15.26, 15.26, 15.26 degrees
Fractional positions:
Ho 0.0000 0.0000 0.0000
Pa 0.4138 0.4138 0.4138
Pa 0.5862 0.5862 0.5862
Sb 0.5000 0.5000 0.5000

=====

Energies relative to the most stable structure, in eV/atom: run a 0.000; run b 0.528.